Material: K4Au3
Method: DFT, PBE
State: optimized geometry

Results
**DFT formation energy**: -188 kJ/mol of formula units
**Energy above the most stable polymorph in this dataset**: 0.00 eV per formula unit
**Total DFT energy (no corrections)**: -2.31 eV/atom
**Space group**: No. 147

a = 13.4264 Å, b = 13.4264 Å, c = 4.8436 Å
α = 90.00°, β = 90.00°, γ = 120.00°
Element x y z (fractional)
K  0.0032  0.2382  0.2475
K  0.1406  0.6216  0.2493
K  0.2350  0.9968  0.2475
K  0.2382  0.2350  0.7525
K  0.3784  0.5190  0.2493
K  0.4810  0.8594  0.2493
K  0.5190  0.1406  0.7507
K  0.6216  0.4810  0.7507
K  0.7618  0.7650  0.2475
K  0.7650  0.0032  0.7525
K  0.8594  0.3784  0.7507
K  0.9968  0.7618  0.7525
Au  0.0000  0.0000  0.5000
Au  0.1488  0.4346  0.7486
Au  0.2858  0.8512  0.7486
Au  0.3333  0.6667  0.7493
Au  0.4346  0.2858  0.2514
Au  0.5654  0.7142  0.7486
Au  0.6667  0.3333  0.2507
Au  0.7142  0.1488  0.2514
Au  0.8512  0.5654  0.2514

***

Material: TbNdZnPt
Method: DFT, PBE
State: optimized geometry

Results
**DFT formation energy**: -293 kJ/mol of formula units
**Energy above the most stable polymorph in this dataset**: 0.00 eV per formula unit
**Total DFT energy (no corrections)**: -4.94 eV/atom
**Space group**: No. 38

a = 4.4768 Å, b = 3.9189 Å, c = 10.9674 Å
α = 90.00°, β = 90.00°, γ = 90.00°
Element x y z (fractional)
Tb  0.0000  0.0000  0.0000
Tb  0.0000  0.5000  0.5000
Nd  0.5000  0.0000  0.2808
Nd  0.5000  0.5000  0.7808
Zn  0.0000  0.0000  0.7118
Zn  0.0000  0.5000  0.2118
Pt  0.5000  0.0000  0.5634
Pt  0.5000  0.5000  0.0634

***

Material: PSI2O
Method: DFT, PBE
State: optimized geometry

Results
**Energy above the most stable polymorph in this dataset**: 0.00 eV per formula unit
**Formation energy (no corrections)**: 0.27 eV/atom
**Total DFT energy (no corrections)**: -3.25 eV/atom
**Space group**: No. 123

a = 5.7183 Å, b = 5.7183 Å, c = 3.4464 Å
α = 90.00°, β = 90.00°, γ = 90.00°
Element x y z (fractional)
P  0.0000  0.0000  0.0000
S  0.5000  0.5000  0.5000
I  0.0000  0.5000  0.0000
I  0.5000  0.0000  0.0000
O  0.0000  0.0000  0.5000